No. 1
DFT (GGA-PBE) results for a geometry-optimized Cd2InAu5 structure.

Output
* energy of formation: -140 meV per atom
* total magnetic moment: 0.0000 μB per atom
* raw total energy: -22.07 eV for the cell shown

The structure in extended XYZ format:
```
8
Lattice="4.1673 0.0000 -1.1455 -0.3149 4.1554 -1.1455 0.1627 0.1755 8.7446" Properties=species:S:1:pos:R:3 pbc="T T T"
Cd 2.9640 3.1971 2.6298
Cd 1.0511 1.1338 3.8238
In 0.0000 0.0000 0.0000
Au 1.9262 2.0777 -1.1455
Au 3.6476 1.6869 5.1166
Au 1.4065 3.7646 5.1166
Au 0.3675 2.6439 1.3369
Au 2.6086 0.5662 1.3369
```

=====

No. 2
DFT (GGA-PBE) results for a geometry-optimized BaDy2Tl2Ag2 structure.

Output
* energy of formation: -241 meV per atom
* total magnetic moment: 0.0000 μB per atom
* raw total energy: -23.25 eV for the cell shown

The structure in extended XYZ format:
```
7
Lattice="5.0212 0.0000 0.0000 2.5106 4.3485 0.0000 2.5106 1.4495 9.5773" Properties=species:S:1:pos:R:3 pbc="T T T"
Ba 0.0000 0.0000 0.0000
Dy 2.5106 1.4495 5.7057
Dy 7.5319 4.3485 3.8716
Tl 7.5319 4.3485 7.2111
Tl 2.5106 1.4495 2.3663
Ag 5.0212 2.8990 3.2362
Ag 5.0212 2.8990 6.3411
```

=====

No. 3
DFT (GGA-PBE) results for a geometry-optimized PmNdSm structure.

Output
* energy of formation: 11 meV per atom
* total magnetic moment: 0.0000 μB per atom
* raw total energy: -14.20 eV for the cell shown
* energy above the lowest structure with this stoichiometry: 0 meV per atom

The structure in extended XYZ format:
```
3
Lattice="3.6538 0.0000 0.0000 -1.8269 3.1643 0.0000 0.0000 0.0000 8.9314" Properties=species:S:1:pos:R:3 pbc="T T T"
Nd 0.0000 2.1095 5.9605
Sm 0.0000 0.0000 0.0093
Pm 1.8269 1.0548 2.9615
```

=====

No. 4
DFT (GGA-PBE) results for a geometry-optimized Sr2MgAs4Pt3 structure.

Output
* energy of formation: -829 meV per atom
* total magnetic moment: 0.0000 μB per atom
* raw total energy: -49.97 eV for the cell shown

The structure in extended XYZ format:
```
10
Lattice="-3.3415 0.0535 -2.9579 2.7223 -1.6911 -3.1059 -2.7350 -9.7536 2.9134" Properties=species:S:1:pos:R:3 pbc="T T T"
Sr -2.3257 -2.3090 -0.7813
Sr -0.7189 -8.2634 0.6627
Mg -1.6771 -5.6956 -1.5752
As -0.3096 -0.8188 -3.0319
As 0.0000 0.0000 0.0000
As -3.4289 -6.2431 0.3939
As 0.3843 -4.3292 -0.5124
Pt -1.3675 -4.8768 1.4567
Pt -4.0863 -8.5877 1.0942
Pt 1.0417 -1.9847 -1.2127
```

=====

No. 5
DFT (GGA-PBE) results for a geometry-optimized In2HPdRh structure.

Output
* total magnetic moment: 0.0000 μB per atom
* raw total energy: -22.54 eV for the cell shown

The structure in extended XYZ format:
```
5
Lattice="-1.0596 0.8724 -4.5032 -4.2523 -1.9197 0.6286 -1.2289 3.0076 0.8718" Properties=species:S:1:pos:R:3 pbc="T T T"
H 0.0000 0.0000 0.0000
Rh -0.6145 1.5038 0.4359
Pd -3.2704 0.9801 -1.5014
In -2.1261 -0.9599 0.3143
In -0.5298 0.4362 -2.2516
```

=====

No. 6
DFT (GGA-PBE) results for a geometry-optimized Rb2P2S7 structure.

Output
* formation energy (no corrections): -430 meV per atom
* total magnetic moment: 0.0000 μB per atom
* raw total energy: -46.38 eV for the cell shown

The structure in extended XYZ format:
```
11
Lattice="-6.1934 0.7868 1.2989 0.8264 -6.8370 -5.1034 4.0693 -1.8210 7.3210" Properties=species:S:1:pos:R:3 pbc="T T T"
Rb 0.0239 -2.8950 4.3357
Rb -1.3216 -4.9762 -0.8192
P -2.4239 -5.8135 2.9797
P 1.1262 -2.0577 0.5368
S 3.2829 -5.6091 3.3033
S -3.7768 -1.0188 3.2928
S -4.5806 -2.2621 0.2131
S 2.4790 -6.8524 0.2237
S -0.8481 -2.0691 1.0567
S 0.0000 0.0000 0.0000
S -0.4497 -5.8021 2.4598
```

=====

No. 7
DFT (GGA-PBE) results for a geometry-optimized RbMg3Zn structure.

Output
* energy of formation: 169 meV per atom
* total magnetic moment: 0.0000 μB per atom
* raw total energy: -6.18 eV for the cell shown
* energy above the lowest structure with this stoichiometry: 0 meV per atom

The structure in extended XYZ format:
```
5
Lattice="5.3203 0.0000 0.0000 0.0000 5.3203 0.0000 0.0000 0.0000 5.3203" Properties=species:S:1:pos:R:3 pbc="T T T"
Zn 0.0000 0.0000 0.0000
Mg 0.0000 2.6601 0.0000
Mg 0.0000 0.0000 2.6601
Mg 2.6601 0.0000 0.0000
Rb 2.6601 2.6601 2.6601
```

=====

No. 8
DFT (GGA-PBE) results for a geometry-optimized ScAgP structure.

Output
* energy of formation: -512 meV per atom
* total magnetic moment: 0.0036 μB per atom
* raw total energy: -32.26 eV for the cell shown

The structure in extended XYZ format:
```
6
Lattice="4.5139 0.0000 0.0000 2.2570 3.9092 0.0000 2.2570 1.3031 6.8924" Properties=species:S:1:pos:R:3 pbc="T T T"
Sc 4.5139 2.6061 1.2638
Sc 4.5139 2.6061 5.6286
P 2.2570 1.3031 1.3118
P 6.7709 3.9092 5.5807
Ag 6.7709 3.9092 2.9583
Ag 2.2570 1.3031 3.9342
```